Computed, not measured: a relaxed GdInGe4 crystal at the PBE-GGA level of DFT.

```
data_GdInGe4
_cell_length_a 7.991
_cell_length_b 7.991
_cell_length_c 7.991
_cell_angle_alpha 90.00
_cell_angle_beta 90.00
_cell_angle_gamma 90.00
_symmetry_space_group_name_H-M 'F -4 3 m'
_symmetry_Int_Tables_number 216
_symmetry_space_group_name_Hall 'F -4 2 3'
loop_
_atom_site_label
_atom_site_type_symbol
_atom_site_fract_x
_atom_site_fract_y
_atom_site_fract_z
Gd1 Gd 0.000 0.000 0.000
In1 In 0.250 0.250 0.750
Ge1 Ge 0.125 0.125 0.375
```

Energy relative to the elements = -0.175 eV per atom
DOS(E_F) = 15.32 states/eV/cell